KPrMgWO6 after structural relaxation. Source: the Alexandria database, functional PBE with a Hubbard U.

The total energy comes out at -6.926 eV/atom. The density of states at the Fermi level is 0.000 states/eV/atom.

a = 5.6439 Å, b = 5.6439 Å, c = 5.6439 Å
α = 60.00°, β = 60.00°, γ = 60.00°
With the nearest neighbours (Å) after each atom.
Atoms (fractional coordinates):
W1 0.5000 0.5000 0.5000  6 O 1.94
O1 0.7433 0.2567 0.7433  1 W 1.94, 1 Mg 2.05
O2 0.2567 0.7433 0.7433  1 W 1.94, 1 Mg 2.05
Pr1 0.2500 0.2500 0.2500  12 O 2.82
O3 0.2567 0.2567 0.7433  1 W 1.94, 1 Mg 2.05
O4 0.7433 0.7433 0.2567  1 W 1.94, 1 Mg 2.05
O5 0.2567 0.7433 0.2567  1 W 1.94, 1 Mg 2.05
K1 0.7500 0.7500 0.7500  12 O 2.82
O6 0.7433 0.2567 0.2567  1 W 1.94, 1 Mg 2.05
Mg1 0.0000 0.0000 0.0000  6 O 2.05